Below is an optimized crystal structure of LiSeS2, with properties calculated at the GGA-PBE level.

Cell: 4.0177 4.0177 21.2576 Å, 90.00 90.00 120.00°
Space group R-3m (No. 166, hexagonal axes)
Unique sites:
Li1 0.0000 0.0000 0.0000
Se1 0.0000 0.0000 0.5000
S1 0.0000 0.0000 0.1084

* distance to the lowest polymorph of the same formula: 0.1809 eV/atom


Below is an optimized crystal structure of LiSeS2, with properties calculated at the GGA-PBE level.

Cell: 3.4190 3.4190 23.2941 Å, 90.00 90.00 120.00°
Space group R-3m (No. 166, hexagonal axes)
Unique sites:
Li1 0.0000 0.0000 0.0000
Se1 0.0000 0.0000 0.5000
S1 0.0000 0.0000 0.4012

* distance to the lowest polymorph of the same formula: 0.1340 eV/atom


Below is an optimized crystal structure of LiSe2S6, with properties calculated at the GGA-PBE level.

Cell: 6.301 6.687 7.458 Å, 110.62 101.48 106.55°
Space group P1 (No. 1)
Unique sites:
Li1 0.000 0.000 0.000
Se1 0.253 0.603 0.158
Se2 0.869 0.415 0.885
S1 0.047 0.474 0.569
S2 0.205 0.053 0.742
S3 0.245 0.375 0.302
S4 0.395 0.030 0.973
S5 0.688 0.643 0.931
S6 0.922 0.697 0.535


no.,formation energy from raw total energies (eV per formula unit),M_tot (μB per cell)
1,0.06,0.0
2,-0.13,0.0
3,-0.38,0.0